This record from Alexandria describes a relaxed structure of Rb2ScMoO6. The functional is PBE with a Hubbard U.

Lattice parameters (Å, degrees): 6.4241 6.4241 5.5126 90.00 90.00 120.00
Positions (direct):
Rb 0.3333 0.6667 0.1656
Rb 0.6667 0.3333 0.8344
Sc 0.0000 0.0000 0.5000
Mo 0.0000 0.0000 0.0000
O 0.1356 0.2711 0.7762
O 0.1356 0.8644 0.7762
O 0.2711 0.1356 0.2238
O 0.7289 0.8644 0.7762
O 0.8644 0.1356 0.2238
O 0.8644 0.7289 0.2238

Values from the calculation:
Final energy, Ha/atom: -0.2348
Crystal system: trigonal
Calculated volume, Å³/atom: 19.70
DOS at the Fermi energy, states/eV/cell: 2.4